First-principles (PBE-GGA) data for crystalline SrLuFe2 at its relaxed geometry, as listed in OQMD.

Properties
**SG**: F-43m (216)
**Final energy**: -4.9659 eV per atom
**Theoretical density**: 7.7 g/cm3

```
data_SrLuFe2
_chemical_formula_sum 'Sr1 Lu1 Fe2'
_cell_length_a 4.850
_cell_length_b 4.850
_cell_length_c 4.850
_cell_angle_alpha 60.00
_cell_angle_beta 60.00
_cell_angle_gamma 60.00
_space_group_name_H-M_alt 'P 1'
_space_group_IT_number 1
loop_
_space_group_symop_operation_xyz
'x,y,z'
loop_
_atom_site_label
_atom_site_fract_x
_atom_site_fract_y
_atom_site_fract_z
Fe1 0.000 0.000 0.000
Fe2 0.250 0.250 0.250
Lu1 0.500 0.500 0.500
Sr1 0.750 0.750 0.750
```

=====

First-principles (PBE-GGA) data for crystalline CsPPdSe4 at its relaxed geometry, as listed in OQMD.

Properties
**SG**: I4/mcm (140)
**Final energy**: -4.1780 eV per atom
**Theoretical density**: 3.7 g/cm3

```
data_CsPPdSe4
_chemical_formula_sum 'Cs2 P2 Pd2 Se8'
_cell_length_a 9.150
_cell_length_b 9.150
_cell_length_c 9.150
_cell_angle_alpha 121.34
_cell_angle_beta 121.34
_cell_angle_gamma 87.69
_space_group_name_H-M_alt 'P 1'
_space_group_IT_number 1
loop_
_space_group_symop_operation_xyz
'x,y,z'
loop_
_atom_site_label
_atom_site_fract_x
_atom_site_fract_y
_atom_site_fract_z
Cs1 0.250 0.250 0.000
Cs2 0.750 0.750 0.000
P1 0.750 0.250 0.500
P2 0.250 0.750 0.500
Pd1 0.500 0.000 0.500
Pd2 0.000 0.500 0.500
Se1 0.506 0.006 0.236
Se2 0.230 0.730 0.236
Se3 0.994 0.230 0.500
Se4 0.730 0.494 0.500
Se5 0.270 0.506 0.500
Se6 0.006 0.770 0.500
Se7 0.770 0.270 0.764
Se8 0.494 0.994 0.764
```